1.
This record from Alexandria describes an optimized crystal structure of AcPm5SmHo2. The functional is PBE.

Computed properties:
ΔH_f (0 K) ... 0.145 eV/atom
Mass density ... 7.38 g/cm³

Cell: 5.5903 24.2811 9.4940 Å, 90.00 90.00 90.00°
Closest atoms and distances in Å follow each position.
Space group Cmc2_1 (No. 36)
Unique sites:
Ac (0.0000, 0.1022, 0.0000) [4 per cell]  5 Pm 3.43-3.75
Pm (0.0000, 0.0245, 0.3261) [4 per cell]  3 Pm 3.28-3.58, 2 Ac 3.49-3.63, 2 Ho 3.53
Pm (0.0000, 0.1044, 0.6051) [4 per cell]  4 Pm 3.28-3.64, 4 Ho 3.51-3.64
Pm (0.0000, 0.1895, 0.2991) [4 per cell]  3 Ho 3.39-3.42, 3 Sm 3.44-3.52, 4 Pm 3.50-3.69, 1 Ac 3.54
Pm (0.0000, 0.2412, 0.9337) [4 per cell]  3 Sm 3.13-3.25, 1 Ac 3.43
Pm (0.0000, 0.4917, 0.1060) [4 per cell]  2 Ho 3.44-3.79, 4 Pm 3.58-3.64
Sm (0.0000, 0.2629, 0.6089) [4 per cell]  4 Pm 3.13-3.44
Ho (0.0000, 0.3278, 0.2471) [4 per cell]  6 Pm 3.39-3.71, 3 Sm 3.78-3.79
Ho (0.0000, 0.3878, 0.8601) [4 per cell]  9 Pm 3.42-3.79

2.
This record from Alexandria describes an optimized crystal structure of Mg2HgPd4. The functional is PBE.

Computed properties:
ΔH_f (0 K) ... 0.332 eV/atom
Mass density ... 6.79 g/cm³

Cell: 4.9710 4.9710 13.3522 Å, 90.00 90.00 90.00°
Closest atoms and distances in Å follow each position.
Space group I4/mmm (No. 139)
Unique sites:
Mg (0.0000, 0.0000, 0.1117) [4 per cell]  1 Pd 2.52
Hg (0.0000, 0.0000, 0.5000) [2 per cell]  6 Pd 2.49-2.67
Pd (0.0000, 0.0000, 0.3001) [4 per cell]  1 Mg 2.52, 1 Hg 2.67
Pd (0.0000, 0.5000, 0.0000) [4 per cell]  2 Hg 2.49

3.
This record from Alexandria describes an optimized crystal structure of Ni3AgSn. The functional is PBE.

Computed properties:
ΔH_f (0 K) ... 1.003 eV/atom
Mass density ... 6.62 g/cm³

Cell: 4.6580 4.6580 4.6580 Å, 90.00 90.00 90.00°
Closest atoms and distances in Å follow each position.
Space group Pm-3m (No. 221)
Unique sites:
Ni (0.0000, 0.0000, 0.5000) [3 per cell]  2 Sn 2.33
Ag (0.5000, 0.5000, 0.5000) [1 per cell]  12 Ni 3.29
Sn (0.0000, 0.0000, 0.0000) [1 per cell]  6 Ni 2.33

4.
This record from Alexandria describes an optimized crystal structure of Pr6Ge2SbI3. The functional is PBE.

Computed properties:
Mass density ... 6.21 g/cm³
Raw formation energy ... -102.3 kJ/mol of atoms

Cell: 7.7185 13.3619 8.1562 Å, 90.00 108.37 90.00°
Closest atoms and distances in Å follow each position.
Space group C2/m (No. 12)
Unique sites:
Pr (0.2187, 0.0000, 0.2021) [4 per cell]  2 Ge 2.96, 1 Sb 3.11
Pr (0.2423, 0.3258, 0.2032) [8 per cell]  2 Ge 2.97, 1 Sb 3.12
Ge (0.0000, 0.1670, 0.0000) [4 per cell]  6 Pr 2.96-2.97
Sb (0.0000, 0.5000, 0.0000) [2 per cell]  6 Pr 3.11-3.12
I (0.0000, 0.0000, 0.5000) [2 per cell]  6 Pr 3.37-3.49
I (0.0000, 0.3365, 0.5000) [4 per cell]  6 Pr 3.39-3.50

5.
This record from Alexandria describes an optimized crystal structure of MnInNi. The functional is PBE.

Computed properties:
ΔH_f (0 K) ... 0.170 eV/atom
Mass density ... 7.15 g/cm³

Cell: 5.9638 5.9638 5.9638 Å, 90.00 90.00 90.00°
Closest atoms and distances in Å follow each position.
Space group F-43m (No. 216)
Unique sites:
Mn (0.0000, 0.0000, 0.0000) [4 per cell]  4 Ni 2.58
In (0.0000, 0.0000, 0.5000) [4 per cell]  4 Ni 2.58
Ni (0.2500, 0.2500, 0.7500) [4 per cell]  4 In 2.58, 4 Mn 2.58

6.
This record from Alexandria describes an optimized crystal structure of SrHgTe2I. The functional is PBE.

Computed properties:
Mass density ... 4.07 g/cm³
Raw formation energy ... -18.4 kJ/mol of atoms

Cell: 6.5547 6.5547 6.3723 Å, 90.00 90.00 90.00°
Closest atoms and distances in Å follow each position.
Space group P4/mmm (No. 123)
Unique sites:
Sr (0.0000, 0.0000, 0.0000) [1 per cell]  2 I 3.19, 4 Te 3.28
Hg (0.5000, 0.5000, 0.5000) [1 per cell]  8 Te 4.57, 4 I 4.63
Te (0.0000, 0.5000, 0.0000) [2 per cell]  2 Sr 3.28
I (0.0000, 0.0000, 0.5000) [1 per cell]  2 Sr 3.19

7.
This record from Alexandria describes an optimized crystal structure of DyAlRh. The functional is PBE.

Computed properties:
ΔH_f (0 K) ... -0.735 eV/atom
Mass density ... 8.01 g/cm³

Cell: 4.3334 4.3334 3.7273 Å, 90.00 90.00 120.00°
Closest atoms and distances in Å follow each position.
Space group P-6m2 (No. 187)
Unique sites:
Dy (0.0000, 0.0000, 0.0000) [1 per cell]  6 Rh 3.12, 6 Al 3.12
Al (0.3333, 0.6667, 0.5000) [1 per cell]  3 Rh 2.50
Rh (0.6667, 0.3333, 0.5000) [1 per cell]  3 Al 2.50

8.
This record from Alexandria describes an optimized crystal structure of Cr2HgPb. The functional is PBE.

Computed properties:
ΔH_f (0 K) ... 0.374 eV/atom
Mass density ... 10.49 g/cm³

Cell: 3.1301 3.1248 16.5621 Å, 90.00 90.00 90.00°
Closest atoms and distances in Å follow each position.
Space group Amm2 (No. 38)
Unique sites:
Cr (0.0000, 0.0000, 0.0000) [2 per cell]  4 Cr 2.49
Cr (0.5000, 0.0000, 0.4312) [2 per cell]  4 Cr 2.49
Hg (0.5000, 0.0000, 0.6191) [2 per cell]  5 Cr 2.96-3.11, 4 Hg 3.12-3.13
Pb (0.0000, 0.0000, 0.7992) [2 per cell]  5 Cr 3.11-3.33, 4 Pb 3.12-3.13, 2 Hg 3.37

9.
This record from Alexandria describes an optimized crystal structure of Pr5Tm2. The functional is PBE.

Computed properties:
ΔH_f (0 K) ... 0.182 eV/atom
Mass density ... 6.92 g/cm³

Cell: 16.3618 3.5686 11.5131 Å, 90.00 131.88 90.00°
Closest atoms and distances in Å follow each position.
Space group C2/m (No. 12)
Unique sites:
Pr (0.0000, 0.0000, 0.0000) [2 per cell]  4 Tm 3.51, 6 Pr 3.57-3.65
Pr (0.1283, 0.5000, 0.3623) [4 per cell]  1 Tm 3.28, 6 Pr 3.50-3.65
Pr (0.1614, 0.0000, 0.6714) [4 per cell]  3 Tm 3.54, 6 Pr 3.57-3.95
Tm (0.1398, 0.5000, 0.9157) [4 per cell]  4 Tm 3.26-3.57, 6 Pr 3.28-3.54

10.
This record from Alexandria describes an optimized crystal structure of LiPm2PrCd4. The functional is PBE.

Computed properties:
ΔH_f (0 K) ... -0.274 eV/atom
Mass density ... 6.89 g/cm³

Cell: 5.3133 5.3133 26.2588 Å, 90.00 90.00 120.00°
Closest atoms and distances in Å follow each position.
Space group R-3m (No. 166, hexagonal axes)
Unique sites:
Li (0.0000, 0.0000, 0.0000) [3 per cell]  8 Cd 3.11-3.24
Pm (0.0000, 0.0000, 0.2529) [6 per cell]  8 Cd 3.16-3.53
Pr (0.0000, 0.0000, 0.5000) [3 per cell]  8 Cd 3.32-3.33
Cd (0.0000, 0.0000, 0.1186) [6 per cell]  1 Li 3.11, 3 Pm 3.23, 3 Pr 3.32
Cd (0.0000, 0.0000, 0.3732) [6 per cell]  4 Pm 3.16-3.25, 3 Li 3.24, 1 Pr 3.33

11.
This record from Alexandria describes an optimized crystal structure of TmBe4Fe. The functional is PBE.

Computed properties:
ΔH_f (0 K) ... -0.064 eV/atom
Mass density ... 6.41 g/cm³

Cell: 6.4638 6.4638 6.4638 Å, 90.00 90.00 90.00°
Closest atoms and distances in Å follow each position.
Space group F-43m (No. 216)
Unique sites:
Tm (0.0000, 0.0000, 0.0000) [4 per cell]  12 Be 2.69, 4 Fe 2.80
Be (0.1216, 0.1216, 0.3784) [16 per cell]  6 Be 2.22-2.35
Fe (0.2500, 0.2500, 0.7500) [4 per cell]  12 Be 2.67, 4 Tm 2.80

12.
This record from Alexandria describes an optimized crystal structure of ZnTcSn2Hg. The functional is PBE.

Computed properties:
ΔH_f (0 K) ... 0.208 eV/atom
Mass density ... 7.49 g/cm³

Cell: 5.1587 5.1587 5.0090 Å, 90.00 90.00 90.00°
Closest atoms and distances in Å follow each position.
Space group P4/mmm (No. 123)
Unique sites:
Zn (0.0000, 0.0000, 0.0000) [1 per cell]  2 Tc 2.50
Tc (0.0000, 0.0000, 0.5000) [1 per cell]  2 Zn 2.50, 4 Sn 2.58
Sn (0.0000, 0.5000, 0.5000) [2 per cell]  2 Tc 2.58
Hg (0.5000, 0.5000, 0.0000) [1 per cell]  8 Sn 3.60, 4 Zn 3.65

13.
This record from Alexandria describes an optimized crystal structure of Pm2SnGe4Pt3. The functional is PBE.

Computed properties:
ΔH_f (0 K) ... -0.765 eV/atom
Mass density ... 10.49 g/cm³

Cell: 4.3997 4.3997 10.5024 Å, 90.00 90.00 90.00°
Closest atoms and distances in Å follow each position.
Space group P-4m2 (No. 115)
Unique sites:
Pm (0.0000, 0.5000, 0.2378) [2 per cell]  8 Ge 3.33, 6 Pt 3.35-3.52, 2 Sn 3.52
Sn (0.0000, 0.0000, 0.5000) [1 per cell]  4 Ge 2.71
Ge (0.0000, 0.0000, 0.0000) [1 per cell]  4 Pt 2.53
Ge (0.0000, 0.5000, 0.6503) [2 per cell]  3 Pt 2.43-2.71, 2 Sn 2.71
Ge (0.5000, 0.5000, 0.0000) [1 per cell]  4 Pt 2.53
Pt (0.0000, 0.5000, 0.8813) [2 per cell]  5 Ge 2.43-2.53
Pt (0.5000, 0.5000, 0.5000) [1 per cell]  4 Ge 2.71

14.
This record from Alexandria describes an optimized crystal structure of CaLaTlPb. The functional is PBE.

Computed properties:
ΔH_f (0 K) ... -0.501 eV/atom
Mass density ... 7.93 g/cm³

Cell: 4.5557 5.1701 5.2476 Å, 90.00 90.00 90.00°
Closest atoms and distances in Å follow each position.
Space group Pmmm (No. 47)
Unique sites:
Ca (0.0000, 0.0000, 0.0000) [1 per cell]  4 Tl 3.45, 4 Pb 3.47, 4 La 3.68
La (0.0000, 0.5000, 0.5000) [1 per cell]  4 Pb 3.45, 4 Tl 3.47, 4 Ca 3.68
Tl (0.5000, 0.5000, 0.0000) [1 per cell]  4 Ca 3.45, 4 La 3.47, 4 Pb 3.68
Pb (0.5000, 0.0000, 0.5000) [1 per cell]  4 La 3.45, 4 Ca 3.47, 4 Tl 3.68

15.
This record from Alexandria describes an optimized crystal structure of BaCd4Pd. The functional is PBE.

Computed properties:
ΔH_f (0 K) ... -0.236 eV/atom
Mass density ... 6.70 g/cm³

Cell: 7.5354 7.4371 6.1346 Å, 90.00 90.61 90.00°
Closest atoms and distances in Å follow each position.
Space group C2/m (No. 12)
Unique sites:
Ba (0.0000, 0.0000, 0.0000) [2 per cell]  2 Pd 3.07
Cd (0.0010, 0.5000, 0.7639) [4 per cell]  6 Cd 2.90-3.24
Cd (0.2500, 0.2500, 0.5000) [4 per cell]  2 Pd 2.65
Pd (0.0000, 0.0000, 0.5000) [2 per cell]  4 Cd 2.65